No. 1
HfFe3I: optimized geometry, GGA-PBEsol.

The structure belongs to space group Pm-3m (No. 221); the cell edges are 4.643, 4.643 and 4.643 Å and the angles 90.00°, 90.00° and 90.00°. The distinct sites, in fractional coordinates, are Hf at (0.000, 0.000, 0.000), Fe at (0.000, 0.000, 0.500) and I at (0.500, 0.500, 0.500).

The calculation puts the density at 7.8 g cm⁻³. Its total energy is -6.242 eV per atom.

=====

No. 2
HfZr2InFe: optimized geometry, GGA-PBEsol.

The structure belongs to space group P4/mmm (No. 123); the cell edges are 4.646, 4.646 and 4.872 Å and the angles 90.00°, 90.00° and 90.00°. The distinct sites, in fractional coordinates, are Hf at (0.000, 0.000, 0.000), Zr at (0.000, 0.500, 0.500), In at (0.500, 0.500, 0.000) and Fe at (0.500, 0.500, 0.500).

The calculation puts the density at 8.4 g cm⁻³. Its energy of formation is 278 meV/atom.

=====

No. 3
HfFeIr3: optimized geometry, GGA-PBEsol.

The structure belongs to space group Pm-3m (No. 221); the cell edges are 4.719, 4.719 and 4.719 Å and the angles 90.00°, 90.00° and 90.00°. The distinct sites, in fractional coordinates, are Hf at (0.000, 0.000, 0.000), Fe at (0.500, 0.500, 0.500) and Ir at (0.000, 0.000, 0.500).

The calculation puts the density at 12.8 g cm⁻³. Its energy of formation is 1904 meV/atom.

=====

Copy entry 3 word for word.
HfFeIr3: optimized geometry, GGA-PBEsol.

The structure belongs to space group Pm-3m (No. 221); the cell edges are 4.719, 4.719 and 4.719 Å and the angles 90.00°, 90.00° and 90.00°. The distinct sites, in fractional coordinates, are Hf at (0.000, 0.000, 0.000), Fe at (0.500, 0.500, 0.500) and Ir at (0.000, 0.000, 0.500).

The calculation puts the density at 12.8 g cm⁻³. Its energy of formation is 1904 meV/atom.